[1]
A plane-wave DFT calculation with PBE was carried out for a relaxed TcH crystal.

The total energy comes out at -0.2435 Ha/atom.

The space group is I4/m (No. 87) and the conventional cell measures 7.7183, 7.7183 and 2.8378 Å, with angles of 90.00, 90.00 and 90.00 degrees. The asymmetric unit holds Tc at (0.1230, 0.3392, 0.0000) and H at (0.1057, 0.7887, 0.0000).


[2]
A plane-wave DFT calculation with PBE was carried out for a relaxed TcH2 crystal.

The total energy comes out at -0.2053 Ha/atom.

The space group is I4/mmm (No. 139) and the conventional cell measures 2.8774, 2.8774 and 9.5389 Å, with angles of 90.00, 90.00 and 90.00 degrees. The asymmetric unit holds Tc at (0.0000, 0.0000, 0.1518), H at (0.0000, 0.0000, 0.3497) and H at (0.0000, 0.5000, 0.0000).


[3]
A plane-wave DFT calculation with PBE was carried out for a relaxed TcH3 crystal.

The total energy comes out at -0.1815 Ha/atom.

The space group is P-3m1 (No. 164) and the conventional cell measures 2.8903, 2.8903 and 3.6016 Å, with angles of 90.00, 90.00 and 120.00 degrees. The asymmetric unit holds Tc at (0.0000, 0.0000, 0.0000), H at (0.0000, 0.0000, 0.5000) and H at (0.3333, 0.6667, 0.2223).


Number 1: relative energy among the computed polymorphs 247 meV per atom. Number 2: relative energy among the computed polymorphs 20 meV per atom. Number 3: relative energy among the computed polymorphs 0 meV per atom.